Record 1
Compound: Li3Fe4CoO8
Source: the Alexandria database
Functional: SCAN
Structure: PBEsol geometry

CIF file:
```
data_Li3Fe4CoO8
_chemical_formula_sum 'Li6 Fe8 Co2 O16'
_space_group_name_H-M_alt 'C 1 2/m 1'
_space_group_IT_number 12
_cell_length_a 9.8496
_cell_length_b 5.7629
_cell_length_c 5.7330
_cell_angle_alpha 90.00
_cell_angle_beta 125.25
_cell_angle_gamma 90.00
loop_
_space_group_symop_operation_xyz
'x,y,z'
'-x,-y,-z'
'-x,y,-z'
'x,-y,z'
'x+1/2,y+1/2,z'
'-x+1/2,-y+1/2,-z'
'-x+1/2,y+1/2,-z'
'x+1/2,-y+1/2,z'
loop_
_atom_site_label
_atom_site_fract_x
_atom_site_fract_y
_atom_site_fract_z
Li1 0.0000 0.0000 0.0000
Li2 0.2500 0.2500 0.5000
Fe1 0.0000 0.0000 0.5000
Fe2 0.0000 0.5000 0.0000
Fe3 0.2500 0.2500 0.0000
Co1 0.0000 0.5000 0.5000
O1 0.0081 0.2610 0.7464
O2 0.2416 0.5000 0.7671
O3 0.2502 0.0000 0.7673
```

Calculated volume ... 8.305 Å³/atom
ΔE_f (raw) ... -1706 meV/atom

---

Record 2
Compound: Li4Fe5Co3O16
Source: the Alexandria database
Functional: SCAN
Structure: PBEsol geometry

CIF file:
```
data_Li4Fe5Co3O16
_chemical_formula_sum 'Li8 Fe10 Co6 O32'
_space_group_name_H-M_alt 'C 1 m 1'
_space_group_IT_number 8
_cell_length_a 9.6465
_cell_length_b 5.5493
_cell_length_c 9.0009
_cell_angle_alpha 90.00
_cell_angle_beta 90.13
_cell_angle_gamma 90.00
loop_
_space_group_symop_operation_xyz
'x,y,z'
'x,-y,z'
'x+1/2,y+1/2,z'
'x+1/2,-y+1/2,z'
loop_
_atom_site_label
_atom_site_fract_x
_atom_site_fract_y
_atom_site_fract_z
Li1 0.0000 0.0000 0.0000
Li2 0.0016 0.0000 0.5000
Li3 0.1666 0.5000 0.3941
Li4 0.3331 0.0000 0.8971
Fe1 0.0871 0.2613 0.7162
Fe2 0.1688 0.5000 0.9931
Fe3 0.1730 0.0000 0.2166
Fe4 0.3355 0.0000 0.4901
Co1 0.3312 0.5000 0.7141
Co2 0.4149 0.2439 0.2148
O1 0.0023 0.0000 0.3073
O2 0.0030 0.0000 0.8070
O3 0.0212 0.5000 0.8499
O4 0.0865 0.2506 0.1047
O5 0.1691 0.5000 0.6044
O6 0.1703 0.0000 0.6055
O7 0.2399 0.2829 0.8440
O8 0.2616 0.2183 0.3461
O9 0.3324 0.5000 0.1019
O10 0.3325 0.0000 0.1075
O11 0.4198 0.2440 0.6037
O12 0.4790 0.0000 0.3431
```

Calculated volume ... 8.604 Å³/atom
ΔE_f (raw) ... -1682 meV/atom

---

Record 3
Compound: Li2FeCo3O8
Source: the Alexandria database
Functional: SCAN
Structure: PBEsol geometry

CIF file:
```
data_Li2FeCo3O8
_chemical_formula_sum 'Li4 Fe2 Co6 O16'
_space_group_name_H-M_alt 'C 1 2/m 1'
_space_group_IT_number 12
_cell_length_a 9.5611
_cell_length_b 5.5999
_cell_length_c 5.7371
_cell_angle_alpha 90.00
_cell_angle_beta 124.18
_cell_angle_gamma 90.00
loop_
_space_group_symop_operation_xyz
'x,y,z'
'-x,-y,-z'
'-x,y,-z'
'x,-y,z'
'x+1/2,y+1/2,z'
'-x+1/2,-y+1/2,-z'
'-x+1/2,y+1/2,-z'
'x+1/2,-y+1/2,z'
loop_
_atom_site_label
_atom_site_fract_x
_atom_site_fract_y
_atom_site_fract_z
Li1 0.0000 0.0000 0.0000
Li2 0.0000 0.5000 0.0000
Fe1 0.0000 0.0000 0.5000
Co1 0.0000 0.5000 0.5000
Co2 0.2500 0.2500 0.5000
O1 0.0132 0.2487 0.2907
O2 0.2357 0.0000 0.7037
O3 0.2359 0.5000 0.6997
```

Energy above the most stable polymorph in this dataset ... 0.0779 eV/atom
Calculated volume ... 9.076 Å³/atom
ΔE_f (raw) ... -1622 meV/atom

---

Record 4
Compound: Li3FeCo4O8
Source: the Alexandria database
Functional: SCAN
Structure: PBEsol geometry

CIF file:
```
data_Li3FeCo4O8
_chemical_formula_sum 'Li6 Fe2 Co8 O16'
_space_group_name_H-M_alt 'C 1 2/m 1'
_space_group_IT_number 12
_cell_length_a 9.8350
_cell_length_b 5.7166
_cell_length_c 5.5739
_cell_angle_alpha 90.00
_cell_angle_beta 124.48
_cell_angle_gamma 90.00
loop_
_space_group_symop_operation_xyz
'x,y,z'
'-x,-y,-z'
'-x,y,-z'
'x,-y,z'
'x+1/2,y+1/2,z'
'-x+1/2,-y+1/2,-z'
'-x+1/2,y+1/2,-z'
'x+1/2,-y+1/2,z'
loop_
_atom_site_label
_atom_site_fract_x
_atom_site_fract_y
_atom_site_fract_z
Li1 0.0000 0.0000 0.0000
Li2 0.2500 0.2500 0.0000
Fe1 0.0000 0.5000 0.5000
Co1 0.0000 0.0000 0.5000
Co2 0.0000 0.5000 0.0000
Co3 0.2500 0.2500 0.5000
O1 0.0151 0.2530 0.2822
O2 0.2382 0.5000 0.7204
O3 0.2425 0.0000 0.7210
```

Calculated volume ... 8.073 Å³/atom
ΔE_f (raw) ... -1655 meV/atom

---

Record 5
Compound: Li2FeCoO4
Source: the Alexandria database
Functional: SCAN
Structure: PBEsol geometry

CIF file:
```
data_Li2FeCoO4
_chemical_formula_sum 'Li2 Fe1 Co1 O4'
_space_group_name_H-M_alt 'P 1 2/m 1'
_space_group_IT_number 10
_cell_length_a 4.8953
_cell_length_b 2.7833
_cell_length_c 4.9267
_cell_angle_alpha 90.00
_cell_angle_beta 109.43
_cell_angle_gamma 90.00
loop_
_space_group_symop_operation_xyz
'x,y,z'
'-x,-y,-z'
'-x,y,-z'
'x,-y,z'
loop_
_atom_site_label
_atom_site_fract_x
_atom_site_fract_y
_atom_site_fract_z
Li1 0.0000 0.0000 0.0000
Li2 0.0000 0.5000 0.5000
Fe1 0.5000 0.0000 0.5000
Co1 0.5000 0.5000 0.0000
O1 0.2793 0.5000 0.2562
O2 0.2819 0.0000 0.7593
```

Energy above the most stable polymorph in this dataset ... 0.0018 eV/atom
Calculated volume ... 7.913 Å³/atom
ΔE_f (raw) ... -1884 meV/atom

---

Record 6
Compound: Li2FeCo3O8
Source: the Alexandria database
Functional: SCAN
Structure: PBEsol geometry

CIF file:
```
data_Li2FeCo3O8
_chemical_formula_sum 'Li6 Fe3 Co9 O24'
_space_group_name_H-M_alt 'R 3 m'
_space_group_IT_number 160
_space_group_name_Hall 'R 3 -2"'
_cell_length_a 5.6141
_cell_length_b 5.6141
_cell_length_c 13.9037
_cell_angle_alpha 90.00
_cell_angle_beta 90.00
_cell_angle_gamma 120.00
loop_
_atom_site_label
_atom_site_fract_x
_atom_site_fract_y
_atom_site_fract_z
Li1 0.0000 0.0000 0.0000
Li2 0.0000 0.0000 0.3753
Fe1 0.0000 0.0000 0.7596
Co1 0.0063 0.5032 0.8794
O1 0.0000 0.0000 0.1416
O2 0.0000 0.0000 0.6183
O3 0.0203 0.5101 0.1376
O4 0.1799 0.3598 0.9480
```

Energy above the most stable polymorph in this dataset ... 0.0865 eV/atom
Calculated volume ... 9.036 Å³/atom
ΔE_f (raw) ... -1613 meV/atom

---

Record 7
Compound: Li4Fe3CoO8
Source: the Alexandria database
Functional: SCAN
Structure: PBEsol geometry

CIF file:
```
data_Li4Fe3CoO8
_chemical_formula_sum 'Li8 Fe6 Co2 O16'
_space_group_name_H-M_alt 'C 1 2/m 1'
_space_group_IT_number 12
_cell_length_a 9.8389
_cell_length_b 5.5971
_cell_length_c 4.8690
_cell_angle_alpha 90.00
_cell_angle_beta 109.21
_cell_angle_gamma 90.00
loop_
_space_group_symop_operation_xyz
'x,y,z'
'-x,-y,-z'
'-x,y,-z'
'x,-y,z'
'x+1/2,y+1/2,z'
'-x+1/2,-y+1/2,-z'
'-x+1/2,y+1/2,-z'
'x+1/2,-y+1/2,z'
loop_
_atom_site_label
_atom_site_fract_x
_atom_site_fract_y
_atom_site_fract_z
Li1 0.2468 0.0000 0.4964
Li2 0.2500 0.2500 0.0000
Fe1 0.0000 0.2575 0.5000
Fe2 0.0000 0.5000 0.0000
Co1 0.0000 0.0000 0.0000
O1 0.1065 0.0000 0.7349
O2 0.1100 0.2506 0.2396
O3 0.1160 0.5000 0.7483
```

Energy above the most stable polymorph in this dataset ... 0.0046 eV/atom
Calculated volume ... 7.912 Å³/atom
ΔE_f (raw) ... -1885 meV/atom

---

Record 8
Compound: Li5Fe3Co2O10
Source: the Alexandria database
Functional: SCAN
Structure: PBEsol geometry

CIF file:
```
data_Li5Fe3Co2O10
_chemical_formula_sum 'Li5 Fe3 Co2 O10'
_space_group_name_H-M_alt 'P -1'
_space_group_IT_number 2
_cell_length_a 4.8780
_cell_length_b 4.8982
_cell_length_c 7.4793
_cell_angle_alpha 107.73
_cell_angle_beta 102.63
_cell_angle_gamma 100.42
loop_
_space_group_symop_operation_xyz
'x,y,z'
'-x,-y,-z'
loop_
_atom_site_label
_atom_site_fract_x
_atom_site_fract_y
_atom_site_fract_z
Li1 0.0000 0.0000 0.0000
Li2 0.4824 0.3883 0.2789
Li3 0.4989 0.7948 0.0836
Fe1 0.0076 0.8098 0.6012
Fe2 0.5000 0.0000 0.5000
Co1 0.0041 0.4113 0.8056
O1 0.2210 0.5894 0.4445
O2 0.2264 0.2035 0.6493
O3 0.2262 0.4175 0.0457
O4 0.2269 0.7845 0.8297
O5 0.2291 0.9925 0.2613
```

Calculated volume ... 8.005 Å³/atom
ΔE_f (raw) ... -1829 meV/atom

---

Record 9
Compound: LiFeCo2O6
Source: the Alexandria database
Functional: SCAN
Structure: PBEsol geometry

CIF file:
```
data_LiFeCo2O6
_chemical_formula_sum 'Li2 Fe2 Co4 O12'
_space_group_name_H-M_alt 'C 1 2/m 1'
_space_group_IT_number 12
_cell_length_a 8.8277
_cell_length_b 3.5889
_cell_length_c 7.1617
_cell_angle_alpha 90.00
_cell_angle_beta 97.39
_cell_angle_gamma 90.00
loop_
_space_group_symop_operation_xyz
'x,y,z'
'-x,-y,-z'
'-x,y,-z'
'x,-y,z'
'x+1/2,y+1/2,z'
'-x+1/2,-y+1/2,-z'
'-x+1/2,y+1/2,-z'
'x+1/2,-y+1/2,z'
loop_
_atom_site_label
_atom_site_fract_x
_atom_site_fract_y
_atom_site_fract_z
Li1 0.0000 0.0000 0.0000
Fe1 0.0000 0.0000 0.5000
Co1 0.1390 0.5000 0.2761
O1 0.0352 0.5000 0.9129
O2 0.1062 0.0000 0.2906
O3 0.1704 0.0000 0.6481
```

Calculated volume ... 11.251 Å³/atom
ΔE_f (raw) ... -977 meV/atom

---

Record 10
Compound: Li2FeCo3O8
Source: the Alexandria database
Functional: SCAN
Structure: PBEsol geometry

CIF file:
```
data_Li2FeCo3O8
_chemical_formula_sum 'Li6 Fe3 Co9 O24'
_space_group_name_H-M_alt 'R -3 m'
_space_group_IT_number 166
_space_group_name_Hall '-R 3 2"'
_cell_length_a 5.6296
_cell_length_b 5.6296
_cell_length_c 13.6826
_cell_angle_alpha 90.00
_cell_angle_beta 90.00
_cell_angle_gamma 120.00
loop_
_atom_site_label
_atom_site_fract_x
_atom_site_fract_y
_atom_site_fract_z
Li1 0.0000 0.0000 0.1254
Fe1 0.0000 0.0000 0.5000
Co1 0.0000 0.5000 0.0000
O1 0.0000 0.0000 0.2646
O2 0.0377 0.5188 0.2540
```

Energy above the most stable polymorph in this dataset ... 0.0091 eV/atom
Calculated volume ... 8.941 Å³/atom
ΔE_f (raw) ... -1690 meV/atom

---

Record 11
Compound: Li4Fe3CoO8
Source: the Alexandria database
Functional: SCAN
Structure: PBEsol geometry

CIF file:
```
data_Li4Fe3CoO8
_chemical_formula_sum 'Li12 Fe9 Co3 O24'
_space_group_name_H-M_alt 'R -3 m'
_space_group_IT_number 166
_space_group_name_Hall '-R 3 2"'
_cell_length_a 5.6092
_cell_length_b 5.6092
_cell_length_c 13.9428
_cell_angle_alpha 90.00
_cell_angle_beta 90.00
_cell_angle_gamma 120.00
loop_
_atom_site_label
_atom_site_fract_x
_atom_site_fract_y
_atom_site_fract_z
Li1 0.0000 0.0000 0.0000
Li2 0.0000 0.5000 0.0000
Fe1 0.0000 0.5000 0.5000
Co1 0.0000 0.0000 0.5000
O1 0.0000 0.0000 0.2421
O2 0.0007 0.5003 0.2400
```

Energy above the most stable polymorph in this dataset ... 0.0000 eV/atom
Calculated volume ... 7.915 Å³/atom
ΔE_f (raw) ... -1890 meV/atom

---

Record 12
Compound: Li2FeCoO4
Source: the Alexandria database
Functional: SCAN
Structure: PBEsol geometry

CIF file:
```
data_Li2FeCoO4
_chemical_formula_sum 'Li6 Fe3 Co3 O12'
_space_group_name_H-M_alt 'R -3 m'
_space_group_IT_number 166
_space_group_name_Hall '-R 3 2"'
_cell_length_a 2.8069
_cell_length_b 2.8069
_cell_length_c 27.7581
_cell_angle_alpha 90.00
_cell_angle_beta 90.00
_cell_angle_gamma 120.00
loop_
_atom_site_label
_atom_site_fract_x
_atom_site_fract_y
_atom_site_fract_z
Li1 0.0000 0.0000 0.2495
Fe1 0.0000 0.0000 0.0000
Co1 0.0000 0.0000 0.5000
O1 0.0000 0.0000 0.1306
O2 0.0000 0.0000 0.3706
```

Energy above the most stable polymorph in this dataset ... 0.0000 eV/atom
Calculated volume ... 7.892 Å³/atom
ΔE_f (raw) ... -1886 meV/atom

---

The following total magnetic moment values (in μB per cell) correspond, in order, to the records above: 20.01; 14.13; 6.03; 6.00; 1.00; 9.00; 6.00; 7.00; 2.00; 9.18; 9.00; 3.00.
The following calculated total energy values (in eV for the cell shown) correspond, in order, to the records above: -348.27; -597.81; -294.75; -341.70; -80.21; -441.76; -322.54; -199.83; -204.57; -445.01; -484.03; -240.68.